Ba2IrOs, relaxed, DFT PBE; raw total energy = -5.01 eV per atom; formation enthalpy at 0 K = 0.9779 eV per atom; magnetic moment = 0.55 μB/atom; mass density = 9979 kg/m3; relative energy among the computed polymorphs = 0.9263 eV/atom
1.0
5.820 0.000 0.000
0.000 5.820 0.000
0.000 0.000 3.228
Ba Os Ir
2 1 1
Direct
0.500 0.500 0.000
0.000 0.000 0.000
0.000 0.500 0.500
0.500 0.000 0.500